No. 1
Below is TaBe3S after structural relaxation, with properties calculated at the PBE level.

* relative energy among the computed polymorphs: 1022.7 meV per atom
* raw formation energy: 181.6 kJ per mole of atoms
* crystal system: cubic

Geometry as CIF:
```
data_TaBe3S
_space_group_name_H-M_alt 'P m -3 m'
_space_group_IT_number 221
_space_group_name_Hall '-P 4 2 3'
_cell_length_a 4.5591
_cell_length_b 4.5591
_cell_length_c 4.5591
_cell_angle_alpha 90.00
_cell_angle_beta 90.00
_cell_angle_gamma 90.00
loop_
_atom_site_label
_atom_site_fract_x
_atom_site_fract_y
_atom_site_fract_z
Ta1 0.0000 0.0000 0.0000
Be1 0.0000 0.0000 0.5000
S1 0.5000 0.5000 0.5000
```

No. 2
Below is TaBe3S after structural relaxation, with properties calculated at the PBE level.

* relative energy among the computed polymorphs: 0.0 meV per atom
* raw formation energy: 82.9 kJ per mole of atoms
* crystal system: cubic

Geometry as CIF:
```
data_TaBe3S
_space_group_name_H-M_alt 'P m -3 m'
_space_group_IT_number 221
_space_group_name_Hall '-P 4 2 3'
_cell_length_a 4.0194
_cell_length_b 4.0194
_cell_length_c 4.0194
_cell_angle_alpha 90.00
_cell_angle_beta 90.00
_cell_angle_gamma 90.00
loop_
_atom_site_label
_atom_site_fract_x
_atom_site_fract_y
_atom_site_fract_z
Ta1 0.0000 0.0000 0.0000
Be1 0.0000 0.5000 0.5000
S1 0.5000 0.5000 0.5000
```

No. 3
Below is TaBe2S after structural relaxation, with properties calculated at the PBE level.

* raw formation energy: 16.1 kJ per mole of atoms
* crystal system: tetragonal

Geometry as CIF:
```
data_TaBe2S
_space_group_name_H-M_alt 'I -4 2 d'
_space_group_IT_number 122
_space_group_name_Hall 'I -4 2bw'
_cell_length_a 6.3850
_cell_length_b 6.3850
_cell_length_c 4.9777
_cell_angle_alpha 90.00
_cell_angle_beta 90.00
_cell_angle_gamma 90.00
loop_
_atom_site_label
_atom_site_fract_x
_atom_site_fract_y
_atom_site_fract_z
Ta1 0.0000 0.0000 0.0000
Be1 0.1943 0.2500 0.6250
S1 0.0000 0.0000 0.5000
```

No. 4
Below is Ta2BeS after structural relaxation, with properties calculated at the PBE level.

* relative energy among the computed polymorphs: 557.7 meV per atom
* raw formation energy: 62.4 kJ per mole of atoms
* crystal system: tetragonal

Geometry as CIF:
```
data_Ta2BeS
_space_group_name_H-M_alt 'I -4 2 d'
_space_group_IT_number 122
_space_group_name_Hall 'I -4 2bw'
_cell_length_a 5.1625
_cell_length_b 5.1625
_cell_length_c 11.3882
_cell_angle_alpha 90.00
_cell_angle_beta 90.00
_cell_angle_gamma 90.00
loop_
_atom_site_label
_atom_site_fract_x
_atom_site_fract_y
_atom_site_fract_z
Ta1 0.2128 0.2500 0.1250
Be1 0.0000 0.0000 0.0000
S1 0.0000 0.0000 0.5000
```

No. 5
Below is TaBeS3 after structural relaxation, with properties calculated at the PBE level.

* relative energy among the computed polymorphs: 131.1 meV per atom
* raw formation energy: 31.1 kJ per mole of atoms
* crystal system: cubic

Geometry as CIF:
```
data_TaBeS3
_space_group_name_H-M_alt 'P m -3 m'
_space_group_IT_number 221
_space_group_name_Hall '-P 4 2 3'
_cell_length_a 4.2367
_cell_length_b 4.2367
_cell_length_c 4.2367
_cell_angle_alpha 90.00
_cell_angle_beta 90.00
_cell_angle_gamma 90.00
loop_
_atom_site_label
_atom_site_fract_x
_atom_site_fract_y
_atom_site_fract_z
Ta1 0.0000 0.0000 0.0000
Be1 0.5000 0.5000 0.5000
S1 0.0000 0.5000 0.5000
```

No. 6
Below is TaBeS3 after structural relaxation, with properties calculated at the PBE level.

* relative energy among the computed polymorphs: 0.0 meV per atom
* raw formation energy: 18.5 kJ per mole of atoms
* crystal system: cubic

Geometry as CIF:
```
data_TaBeS3
_space_group_name_H-M_alt 'P m -3 m'
_space_group_IT_number 221
_space_group_name_Hall '-P 4 2 3'
_cell_length_a 4.7772
_cell_length_b 4.7772
_cell_length_c 4.7772
_cell_angle_alpha 90.00
_cell_angle_beta 90.00
_cell_angle_gamma 90.00
loop_
_atom_site_label
_atom_site_fract_x
_atom_site_fract_y
_atom_site_fract_z
Ta1 0.0000 0.0000 0.0000
Be1 0.5000 0.5000 0.5000
S1 0.0000 0.0000 0.5000
```

No. 7
Below is TaBeZnS2 after structural relaxation, with properties calculated at the PBE level.

* raw formation energy: 102.1 kJ per mole of atoms
* crystal system: tetragonal

Geometry as CIF:
```
data_TaBeZnS2
_space_group_name_H-M_alt 'P 4/m m m'
_space_group_IT_number 123
_space_group_name_Hall '-P 4 2'
_cell_length_a 4.5803
_cell_length_b 4.5803
_cell_length_c 3.9985
_cell_angle_alpha 90.00
_cell_angle_beta 90.00
_cell_angle_gamma 90.00
loop_
_atom_site_label
_atom_site_fract_x
_atom_site_fract_y
_atom_site_fract_z
Ta1 0.0000 0.0000 0.0000
Be1 0.5000 0.5000 0.0000
Zn1 0.5000 0.5000 0.5000
S1 0.0000 0.5000 0.5000
```

No. 8
Below is Tb5BeS4 after structural relaxation, with properties calculated at the PBE level.

* raw formation energy: -156.3 kJ per mole of atoms
* crystal system: tetragonal

Geometry as CIF:
```
data_Tb5BeS4
_space_group_name_H-M_alt 'I 4/m'
_space_group_IT_number 87
_space_group_name_Hall '-I 4'
_cell_length_a 8.8290
_cell_length_b 8.8290
_cell_length_c 5.5688
_cell_angle_alpha 90.00
_cell_angle_beta 90.00
_cell_angle_gamma 90.00
loop_
_atom_site_label
_atom_site_fract_x
_atom_site_fract_y
_atom_site_fract_z
Tb1 0.0000 0.0000 0.0000
Tb2 0.0987 0.7042 0.5000
Be1 0.0000 0.0000 0.5000
S1 0.0976 0.6971 0.0000
```

No. 9
Below is Tb2BeS4 after structural relaxation, with properties calculated at the PBE level.

* raw formation energy: -164.1 kJ per mole of atoms
* crystal system: monoclinic

Geometry as CIF:
```
data_Tb2BeS4
_space_group_name_H-M_alt 'P 1 21/m 1'
_space_group_IT_number 11
_space_group_name_Hall '-P 2yb'
_cell_length_a 6.2042
_cell_length_b 6.3612
_cell_length_c 7.5059
_cell_angle_alpha 90.00
_cell_angle_beta 107.78
_cell_angle_gamma 90.00
loop_
_atom_site_label
_atom_site_fract_x
_atom_site_fract_y
_atom_site_fract_z
Tb1 0.2227 0.2500 0.0547
Tb2 0.2542 0.2500 0.5651
Be1 0.2391 0.7500 0.8057
S1 0.0086 0.5020 0.7455
S2 0.4257 0.7500 0.0925
S3 0.4331 0.7500 0.6196
```

No. 10
Below is Tb3BeS6 after structural relaxation, with properties calculated at the PBE level.

* raw formation energy: -161.8 kJ per mole of atoms
* crystal system: orthorhombic

Geometry as CIF:
```
data_Tb3BeS6
_space_group_name_H-M_alt 'C m c 21'
_space_group_IT_number 36
_space_group_name_Hall 'C 2c -2'
_cell_length_a 10.9858
_cell_length_b 13.6106
_cell_length_c 5.9671
_cell_angle_alpha 90.00
_cell_angle_beta 90.00
_cell_angle_gamma 90.00
loop_
_atom_site_label
_atom_site_fract_x
_atom_site_fract_y
_atom_site_fract_z
Tb1 0.0000 0.1240 0.0000
Tb2 0.1732 0.3909 0.0738
Be1 0.0000 0.3042 0.6327
S1 0.0000 0.2831 0.2858
S2 0.0000 0.4513 0.7531
S3 0.1587 0.2404 0.7721
S4 0.1597 0.0131 0.2950
```

No. 11
Below is BeTc2S after structural relaxation, with properties calculated at the PBE level.

* relative energy among the computed polymorphs: 330.6 meV per atom
* raw formation energy: 37.7 kJ per mole of atoms
* crystal system: tetragonal

Geometry as CIF:
```
data_BeTc2S
_space_group_name_H-M_alt 'I -4 2 d'
_space_group_IT_number 122
_space_group_name_Hall 'I -4 2bw'
_cell_length_a 3.6997
_cell_length_b 3.6997
_cell_length_c 16.3172
_cell_angle_alpha 90.00
_cell_angle_beta 90.00
_cell_angle_gamma 90.00
loop_
_atom_site_label
_atom_site_fract_x
_atom_site_fract_y
_atom_site_fract_z
Be1 0.0000 0.0000 0.0000
Tc1 0.2332 0.2500 0.1250
S1 0.0000 0.0000 0.5000
```

No. 12
Below is BeTc2S after structural relaxation, with properties calculated at the PBE level.

* relative energy among the computed polymorphs: 0.0 meV per atom
* raw formation energy: 5.8 kJ per mole of atoms
* crystal system: cubic

Geometry as CIF:
```
data_BeTc2S
_space_group_name_H-M_alt 'F m -3 m'
_space_group_IT_number 225
_space_group_name_Hall '-F 4 2 3'
_cell_length_a 5.7667
_cell_length_b 5.7667
_cell_length_c 5.7667
_cell_angle_alpha 90.00
_cell_angle_beta 90.00
_cell_angle_gamma 90.00
loop_
_atom_site_label
_atom_site_fract_x
_atom_site_fract_y
_atom_site_fract_z
Be1 0.0000 0.0000 0.0000
Tc1 0.2500 0.2500 0.2500
S1 0.0000 0.0000 0.5000
```

No. 13
Below is Be3TcS after structural relaxation, with properties calculated at the PBE level.

* relative energy among the computed polymorphs: 419.0 meV per atom
* raw formation energy: 122.4 kJ per mole of atoms
* crystal system: cubic

Geometry as CIF:
```
data_Be3TcS
_space_group_name_H-M_alt 'P m -3 m'
_space_group_IT_number 221
_space_group_name_Hall '-P 4 2 3'
_cell_length_a 4.2398
_cell_length_b 4.2398
_cell_length_c 4.2398
_cell_angle_alpha 90.00
_cell_angle_beta 90.00
_cell_angle_gamma 90.00
loop_
_atom_site_label
_atom_site_fract_x
_atom_site_fract_y
_atom_site_fract_z
Be1 0.0000 0.0000 0.5000
Tc1 0.0000 0.0000 0.0000
S1 0.5000 0.5000 0.5000
```

No. 14
Below is Be2TcS after structural relaxation, with properties calculated at the PBE level.

* raw formation energy: 22.6 kJ per mole of atoms
* crystal system: tetragonal

Geometry as CIF:
```
data_Be2TcS
_space_group_name_H-M_alt 'I -4 2 d'
_space_group_IT_number 122
_space_group_name_Hall 'I -4 2bw'
_cell_length_a 6.1781
_cell_length_b 6.1781
_cell_length_c 4.9005
_cell_angle_alpha 90.00
_cell_angle_beta 90.00
_cell_angle_gamma 90.00
loop_
_atom_site_label
_atom_site_fract_x
_atom_site_fract_y
_atom_site_fract_z
Be1 0.2033 0.7500 0.1250
Tc1 0.0000 0.0000 0.5000
S1 0.0000 0.0000 0.0000
```

No. 15
Below is Be3TcS after structural relaxation, with properties calculated at the PBE level.

* relative energy among the computed polymorphs: 0.0 meV per atom
* raw formation energy: 82.0 kJ per mole of atoms
* crystal system: cubic

Geometry as CIF:
```
data_Be3TcS
_space_group_name_H-M_alt 'P m -3 m'
_space_group_IT_number 221
_space_group_name_Hall '-P 4 2 3'
_cell_length_a 3.9558
_cell_length_b 3.9558
_cell_length_c 3.9558
_cell_angle_alpha 90.00
_cell_angle_beta 90.00
_cell_angle_gamma 90.00
loop_
_atom_site_label
_atom_site_fract_x
_atom_site_fract_y
_atom_site_fract_z
Be1 0.0000 0.0000 0.5000
Tc1 0.5000 0.5000 0.5000
S1 0.0000 0.0000 0.0000
```

No. 16
Below is Be2Tc4S after structural relaxation, with properties calculated at the PBE level.

* raw formation energy: 71.1 kJ per mole of atoms
* crystal system: tetragonal

Geometry as CIF:
```
data_Be2Tc4S
_space_group_name_H-M_alt 'I 4/m m m'
_space_group_IT_number 139
_space_group_name_Hall '-I 4 2'
_cell_length_a 4.2593
_cell_length_b 4.2593
_cell_length_c 11.4733
_cell_angle_alpha 90.00
_cell_angle_beta 90.00
_cell_angle_gamma 90.00
loop_
_atom_site_label
_atom_site_fract_x
_atom_site_fract_y
_atom_site_fract_z
Be1 0.0000 0.0000 0.1082
Tc1 0.0000 0.0000 0.3078
Tc2 0.0000 0.5000 0.0000
S1 0.0000 0.0000 0.5000
```

No. 17
Below is BeTc3S after structural relaxation, with properties calculated at the PBE level.

* relative energy among the computed polymorphs: 0.0 meV per atom
* raw formation energy: 65.8 kJ per mole of atoms
* crystal system: cubic

Geometry as CIF:
```
data_BeTc3S
_space_group_name_H-M_alt 'P m -3 m'
_space_group_IT_number 221
_space_group_name_Hall '-P 4 2 3'
_cell_length_a 4.3047
_cell_length_b 4.3047
_cell_length_c 4.3047
_cell_angle_alpha 90.00
_cell_angle_beta 90.00
_cell_angle_gamma 90.00
loop_
_atom_site_label
_atom_site_fract_x
_atom_site_fract_y
_atom_site_fract_z
Be1 0.0000 0.0000 0.0000
Tc1 0.0000 0.5000 0.5000
S1 0.5000 0.5000 0.5000
```

No. 18
Below is Be2Te2S after structural relaxation, with properties calculated at the PBE level.

* relative energy among the computed polymorphs: 0.0 meV per atom
* raw formation energy: -0.1 kJ per mole of atoms
* crystal system: tetragonal

Geometry as CIF:
```
data_Be2Te2S
_space_group_name_H-M_alt 'I 4/m m m'
_space_group_IT_number 139
_space_group_name_Hall '-I 4 2'
_cell_length_a 4.6382
_cell_length_b 4.6382
_cell_length_c 13.0408
_cell_angle_alpha 90.00
_cell_angle_beta 90.00
_cell_angle_gamma 90.00
loop_
_atom_site_label
_atom_site_fract_x
_atom_site_fract_y
_atom_site_fract_z
Be1 0.0000 0.0000 0.1448
Te1 0.0000 0.5000 0.2500
S1 0.0000 0.0000 0.0000
```

No. 19
Below is BeTeS2 after structural relaxation, with properties calculated at the PBE level.

* relative energy among the computed polymorphs: 33.7 meV per atom
* raw formation energy: -13.4 kJ per mole of atoms
* crystal system: tetragonal

Geometry as CIF:
```
data_BeTeS2
_space_group_name_H-M_alt 'I -4 2 d'
_space_group_IT_number 122
_space_group_name_Hall 'I -4 2bw'
_cell_length_a 6.0913
_cell_length_b 6.0913
_cell_length_c 8.7623
_cell_angle_alpha 90.00
_cell_angle_beta 90.00
_cell_angle_gamma 90.00
loop_
_atom_site_label
_atom_site_fract_x
_atom_site_fract_y
_atom_site_fract_z
Be1 0.0000 0.0000 0.0000
Te1 0.0000 0.0000 0.5000
S1 0.1576 0.2500 0.1250
```

No. 20
Below is BeTeS3 after structural relaxation, with properties calculated at the PBE level.

* relative energy among the computed polymorphs: 791.3 meV per atom
* raw formation energy: 101.3 kJ per mole of atoms
* crystal system: cubic

Geometry as CIF:
```
data_BeTeS3
_space_group_name_H-M_alt 'P m -3 m'
_space_group_IT_number 221
_space_group_name_Hall '-P 4 2 3'
_cell_length_a 5.0130
_cell_length_b 5.0130
_cell_length_c 5.0130
_cell_angle_alpha 90.00
_cell_angle_beta 90.00
_cell_angle_gamma 90.00
loop_
_atom_site_label
_atom_site_fract_x
_atom_site_fract_y
_atom_site_fract_z
Be1 0.0000 0.0000 0.0000
Te1 0.5000 0.5000 0.5000
S1 0.0000 0.5000 0.5000
```